(1)
First-principles (GGA+U) data for a relaxed structure of K4NiO4, as listed in Alexandria.

Properties
Space-group type = No. 137
Energy = -72.3 eV for the cell shown
Crystal system = tetragonal

Lattice parameters (Å, degrees): 5.9104 7.4736 7.4736 90.00 90.00 90.00
Last column: nearest neighbours and their distance in Å.
Fractional coordinates of all 18 atoms:
O1 0.4249 0.5472 0.7499  1 Ni 1.83
O2 0.5751 0.4528 0.2501  1 Ni 1.83
O3 0.0751 0.7499 0.9528  1 Ni 1.83
O4 0.9249 0.2501 0.0472  1 Ni 1.83
O5 0.4249 0.9528 0.7501  1 Ni 1.83
O6 0.9249 0.2499 0.4528  1 Ni 1.83
O7 0.0751 0.7501 0.5472  1 Ni 1.83
O8 0.5751 0.0472 0.2499  1 Ni 1.83
K1 0.3848 0.2502 0.9697  5 O 2.77-2.82, 1 Ni 3.01
K2 0.8848 0.0303 0.7502  5 O 2.77-2.82, 1 Ni 3.01
K3 0.3848 0.2498 0.5303  5 O 2.77-2.82, 1 Ni 3.01
K4 0.1152 0.9697 0.2498  5 O 2.77-2.82, 1 Ni 3.01
K5 0.6152 0.7502 0.4697  5 O 2.77-2.82, 1 Ni 3.01
K6 0.6152 0.7498 0.0303  5 O 2.77-2.82, 1 Ni 3.01
K7 0.1152 0.5303 0.2502  5 O 2.77-2.82, 1 Ni 3.01
K8 0.8848 0.4697 0.7498  5 O 2.77-2.82, 1 Ni 3.01
Ni1 0.2500 0.7500 0.7500  4 O 1.83
Ni2 0.7500 0.2500 0.2500  4 O 1.83


(2)
First-principles (GGA+U) data for a relaxed structure of Si2NiBO6, as listed in Alexandria.

Properties
Space-group type = No. 15
Energy = -144.7 eV for the cell shown
Crystal system = monoclinic

Lattice parameters (Å, degrees): 5.3173 7.0729 7.0729 91.37 68.81 68.81
Last column: nearest neighbours and their distance in Å.
Fractional coordinates of all 20 atoms:
O1 0.1954 0.6579 0.6791  2 Si 1.62-1.63
O2 0.0193 0.6205 0.1846  1 B 1.46, 1 Si 1.62
O3 0.9807 0.3795 0.8154  1 B 1.46, 1 Si 1.62
O4 0.6954 0.6791 0.6579  2 Si 1.62-1.63
O5 0.3108 0.2219 0.9837  1 B 1.51, 1 Si 1.66
O6 0.4807 0.8154 0.3795  1 B 1.46, 1 Si 1.62
O7 0.6892 0.7781 0.0163  1 B 1.51, 1 Si 1.66
O8 0.5193 0.1846 0.6205  1 B 1.46, 1 Si 1.62
O9 0.1892 0.0163 0.7781  1 B 1.51, 1 Si 1.66
O10 0.3046 0.3209 0.3421  2 Si 1.62-1.63
O11 0.8108 0.9837 0.2219  1 B 1.51, 1 Si 1.66
O12 0.8046 0.3421 0.3209  2 Si 1.62-1.63
Ni1 0.2500 0.8843 0.1157  2 O 2.01
Ni2 0.7500 0.1157 0.8843  2 O 2.01
Si1 0.6038 0.2084 0.3802  4 O 1.62-1.66
Si2 0.1038 0.3802 0.2084  4 O 1.62-1.66
Si3 0.8962 0.6198 0.7916  4 O 1.62-1.66
Si4 0.3962 0.7916 0.6198  4 O 1.62-1.66
B1 0.2500 0.2076 0.7924  4 O 1.46-1.51
B2 0.7500 0.7924 0.2076  4 O 1.46-1.51


Sequential total magnetic moment output: 4.09, 1.00 μB per formula unit